A plane-wave DFT calculation with PBE was carried out for a relaxed BeBiS3 crystal.

Calculated values
Total energy (eV per atom): -2.94
Energy relative to the elements, uncorrected (eV/atom): 1.061
Distance to the lowest polymorph of the same formula (eV per atom): 1.071

a = 5.1559 Å, b = 5.1559 Å, c = 5.1559 Å
α = 90.00°, β = 90.00°, γ = 90.00°
Element x y z (fractional)
S: 0.5000 0.0000 0.0000
S: 0.0000 0.0000 0.5000
S: 0.0000 0.5000 0.0000
Bi: 0.0000 0.0000 0.0000
Be: 0.5000 0.5000 0.5000

A plane-wave DFT calculation with PBE was carried out for a relaxed BeBiS2 crystal.

Calculated values
Total energy (eV per atom): -3.60
Energy relative to the elements, uncorrected (eV/atom): 0.370
Distance to the lowest polymorph of the same formula (eV per atom): 0.766

a = 4.7296 Å, b = 4.7296 Å, c = 4.7296 Å
α = 60.00°, β = 60.00°, γ = 60.00°
Element x y z (fractional)
S: 0.7500 0.7500 0.7500
Bi: 0.5000 0.5000 0.5000
Be: 0.0000 0.0000 0.0000
S: 0.2500 0.2500 0.2500

A plane-wave DFT calculation with PBE was carried out for a relaxed Be2BiS2 crystal.

Calculated values
Total energy (eV per atom): -4.50
Energy relative to the elements, uncorrected (eV/atom): -0.582
Distance to the lowest polymorph of the same formula (eV per atom): 0.000

a = 3.3685 Å, b = 3.3685 Å, c = 12.1125 Å
α = 82.01°, β = 82.01°, γ = 90.00°
Element x y z (fractional)
Be: 0.2500 0.7500 0.5000
Be: 0.7500 0.2500 0.5000
Bi: 0.0000 0.0000 0.0000
S: 0.3029 0.3029 0.3943
S: 0.6971 0.6971 0.6057

A plane-wave DFT calculation with PBE was carried out for a relaxed BeBi3S6 crystal.

Calculated values
Total energy (eV per atom): -4.37
Energy relative to the elements, uncorrected (eV/atom): -0.360

a = 6.0000 Å, b = 9.1627 Å, c = 9.1627 Å
α = 102.16°, β = 90.00°, γ = 90.00°
Element x y z (fractional)
S: 0.7056 0.6465 0.6749
S: 0.2056 0.6749 0.6465
S: 0.2056 0.3535 0.3251
S: 0.6747 0.5854 0.1136
Bi: 0.9308 0.6151 0.3849
S: 0.1908 0.7829 0.2171
Bi: 0.4538 0.2909 0.0516
S: 0.1603 0.0617 0.9383
Bi: 0.4538 0.9484 0.7091
S: 0.6908 0.2171 0.7829
S: 0.7056 0.3251 0.3535
S: 0.1747 0.4146 0.8864
Bi: 0.9538 0.0516 0.2909
S: 0.6603 0.9383 0.0617
Be: 0.0351 0.2001 0.7999
Be: 0.5351 0.7999 0.2001
Bi: 0.9538 0.7091 0.9484
S: 0.1747 0.1136 0.5854
Bi: 0.4308 0.3849 0.6151
S: 0.6747 0.8864 0.4146